Below is an optimized crystal structure of AcHoTmMg, with properties calculated at the PBE-GGA level.

For the energy, the calculation gives -3.63 eV per atom. The value obtained for the energy relative to the elements is 58 meV per atom.

Unit cell a=8.0271 b=8.0271 c=8.0271 alpha=90.00 beta=90.00 gamma=90.00
Closest atoms and distances in Å follow each position.
Space group F-43m (No. 216)
One atom of each set of equivalent atoms:
Ac 0.0000 0.0000 0.0000 [4 per cell]  4 Tm 3.48, 4 Mg 3.48
Ho 0.0000 0.0000 0.5000 [4 per cell]  4 Mg 3.48, 4 Tm 3.48
Tm 0.2500 0.2500 0.7500 [4 per cell]  4 Ac 3.48, 4 Ho 3.48
Mg 0.2500 0.2500 0.2500 [4 per cell]  4 Ac 3.48, 4 Ho 3.48